## LiTa2Sb (PBE)

Data for an optimized crystal structure of LiTa2Sb.

Unit cell a=3.5476 b=3.5476 c=5.7240 alpha=90.00 beta=90.00 gamma=90.00
Closest atoms and distances in Å follow each position.
Fractional coordinates of all 4 atoms:
Ta1 0.0000 0.0000 0.0045  2 Ta 2.81-2.91, 4 Li 2.88, 4 Sb 2.90
Sb1 0.5000 0.5000 0.7500  2 Li 2.86, 8 Ta 2.90
Li1 0.5000 0.5000 0.2500  2 Sb 2.86, 8 Ta 2.88
Ta2 0.0000 0.0000 0.4955  2 Ta 2.81-2.91, 4 Li 2.88, 4 Sb 2.90

Computed properties:
M_tot   0.0 μB per formula unit
Energy relative to the elements, uncorrected   310 meV per atom
Space group   P4/mmm
D(E_F)   3.0 states/eV per cell
Volume   18.0 Å³/atom

=====

## Ba2GaGe (PBE)

Data for an optimized crystal structure of Ba2GaGe.

Unit cell a=4.3888 b=6.8655 c=9.9965 alpha=111.43 beta=90.00 gamma=90.00
Closest atoms and distances in Å follow each position.
Fractional coordinates of all 8 atoms:
Ba1 0.7500 0.2179 0.4285  4 Ge 3.48-3.79, 3 Ga 3.48-3.56
Ba2 0.2500 0.7821 0.5715  4 Ge 3.48-3.79, 3 Ga 3.48-3.56
Ga1 0.7500 0.6142 0.7776  2 Ge 2.67
Ge1 0.7500 0.6248 0.2812  2 Ga 2.67
Ba3 0.7500 0.2225 0.9316  3 Ge 3.47-3.58, 4 Ga 3.48-3.89
Ga2 0.2500 0.3858 0.2224  2 Ge 2.67
Ge2 0.2500 0.3752 0.7188  2 Ga 2.67
Ba4 0.2500 0.7775 0.0684  3 Ge 3.47-3.58, 4 Ga 3.48-3.89

Computed properties:
M_tot   0.1 μB per formula unit
Space group   P2_1/m
Formation enthalpy at 0 K   -0.4917 eV per atom
D(E_F)   7.5 states/eV per cell
Volume   35.0 Å³/atom